## LiAcFeO4 (PBE with a Hubbard U)

Data for a relaxed LiAcFeO4 crystal.

Output
The total energy is -45.72 eV/cell. The total magnetization comes out at 0.567 μB/atom.

a b c (Å): 5.161 5.161 5.161
angles (deg): 113.56 113.56 101.56
Atoms (fractional coordinates):
1 Li 0.000 0.000 0.000
2 Ac 0.500 0.500 0.000
3 Fe 0.250 0.750 0.500
4 O 0.085 0.667 0.078
5 O 0.333 0.411 0.418
6 O 0.589 0.007 0.922
7 O 0.993 0.915 0.582